# GGA+U CsTbFeF6, relaxed
# * Fermi-level density of states: 0.00 states/eV/f.u.
# * energy: -51.784 eV/cell
# * total magnetization: 0.444 μB/atom
data_CsTbFeF6
_space_group_name_H-M_alt 'P 1'
_space_group_IT_number 1
_cell_length_a 5.846
_cell_length_b 5.895
_cell_length_c 6.389
_cell_angle_alpha 89.83
_cell_angle_beta 89.54
_cell_angle_gamma 60.39
loop_
_space_group_symop_operation_xyz
'x,y,z'
loop_
_atom_site_label
_atom_site_type_symbol
_atom_site_fract_x
_atom_site_fract_y
_atom_site_fract_z
_atom_site_occupancy
Cs1 Cs 0.000 0.000 0.000 1
Tb1 Tb 0.665 0.669 0.500 1
Fe1 Fe 0.335 0.328 0.500 1
F1 F 0.010 0.604 0.313 1
F2 F 0.018 0.379 0.677 1
F3 F 0.384 0.606 0.686 1
F4 F 0.390 0.005 0.311 1
F5 F 0.605 0.007 0.688 1
F6 F 0.605 0.377 0.323 1